[1]
VASP calculation (PBE) on crystalline NaSiTe2 at its relaxed geometry.

The value obtained for the formation energy (no corrections) is -0.212 eV/atom.

It has space group I-42d (No. 122), with a = 6.803 Å, b = 6.803 Å, c = 12.928 Å, α = 90.00°, β = 90.00° and γ = 90.00°. The inequivalent atoms are Na at (0.000, 0.000, 0.000), Si at (0.000, 0.000, 0.500) and Te at (0.187, 0.250, 0.625).



[2]
VASP calculation (PBE) on crystalline NaSi2Te2 at its relaxed geometry.

The value obtained for the formation energy (no corrections) is 0.027 eV/atom. The excess energy over the best structure of this formula in the dataset is 2.8 meV/atom.

It has space group I4/mmm (No. 139), with a = 5.512 Å, b = 5.512 Å, c = 8.495 Å, α = 90.00°, β = 90.00° and γ = 90.00°. The inequivalent atoms are Na at (0.000, 0.000, 0.000), Si at (0.000, 0.000, 0.353) and Te at (0.000, 0.500, 0.250).



[3]
VASP calculation (PBE) on crystalline NaSiTe2 at its relaxed geometry.

The value obtained for the formation energy (no corrections) is -0.267 eV/atom.

It has space group R3m (No. 160, hexagonal axes), with a = 4.0279 Å, b = 4.0279 Å, c = 23.3335 Å, α = 90.00°, β = 90.00° and γ = 120.00°. The inequivalent atoms are Na at (0.0000, 0.0000, 0.0000), Si at (0.0000, 0.0000, 0.8334), Te at (0.0000, 0.0000, 0.2348) and Te at (0.0000, 0.0000, 0.4320).



[4]
VASP calculation (PBE) on crystalline Na3SiTe at its relaxed geometry.

The value obtained for the formation energy (no corrections) is 0.195 eV/atom. The excess energy over the best structure of this formula in the dataset is 112.4 meV/atom.

It has space group Pm-3m (No. 221), with a = 5.552 Å, b = 5.552 Å, c = 5.552 Å, α = 90.00°, β = 90.00° and γ = 90.00°. The inequivalent atoms are Na at (0.000, 0.000, 0.500), Si at (0.000, 0.000, 0.000) and Te at (0.500, 0.500, 0.500).